# 1
Here is a crystal of Sc2C relaxed with PBEsol from Alexandria via LeMat-Bulk. Energies are from SCAN.

For the density of states at the Fermi level, the calculation gives 1.15 states/eV/f.u. For the theoretical density, the calculation gives 3.96 g cm⁻³. The crystal system is tetragonal. The value obtained for the formation energy is -0.062 eV/atom. For the total magnetic moment, the calculation gives 0.0 μB/cell.

It has space group P4/nmm (No. 129, origin choice 2), with a = 3.634 Å, b = 3.634 Å, c = 6.470 Å, α = 90.00°, β = 90.00° and γ = 90.00°. The inequivalent atoms are Sc at (0.250, 0.250, 0.124), Sc at (0.250, 0.750, 0.500) and C at (0.250, 0.250, 0.769).

# 2
Here is a crystal of Sc2C relaxed with PBEsol from Alexandria via LeMat-Bulk. Energies are from SCAN.

For the density of states at the Fermi level, the calculation gives 1.93 states/eV/f.u. For the theoretical density, the calculation gives 3.26 g cm⁻³. The crystal system is trigonal. The value obtained for the formation energy is -0.576 eV/atom. For the total magnetic moment, the calculation gives 0.5 μB/cell.

It has space group R-3m (No. 166, hexagonal axes), with a = 3.3008 Å, b = 3.3008 Å, c = 16.4917 Å, α = 90.00°, β = 90.00° and γ = 120.00°. The inequivalent atoms are Sc at (0.0000, 0.0000, 0.2409) and C at (0.0000, 0.0000, 0.5000).

# 3
Here is a crystal of Sc2C relaxed with PBEsol from Alexandria via LeMat-Bulk. Energies are from SCAN.

For the density of states at the Fermi level, the calculation gives 1.80 states/eV/f.u. For the theoretical density, the calculation gives 3.89 g cm⁻³. The crystal system is cubic. The value obtained for the formation energy is -0.299 eV/atom. For the total magnetic moment, the calculation gives 0.0 μB/cell.

It has space group Fm-3m (No. 225), with a = 5.585 Å, b = 5.585 Å, c = 5.585 Å, α = 90.00°, β = 90.00° and γ = 90.00°. The inequivalent atoms are Sc at (0.250, 0.250, 0.250) and C at (0.000, 0.000, 0.000).